Entry 1:
A plane-wave DFT calculation with PBE-GGA was carried out for crystalline Tb6OsRu2 at its relaxed geometry.

a b c (Å): 4.8243 13.1829 14.4686
angles (deg): 90.00 90.00 90.00
Space group Fmmm (No. 69)
Unique sites:
Tb 0.0000 0.1259 0.0000 (multiplicity 8)
Tb 0.0000 0.1258 0.3337 (multiplicity 16)
Os 0.0000 0.0000 0.5000 (multiplicity 4)
Ru 0.0000 0.0000 0.1675 (multiplicity 8)

The total moment comes out at 0.00 μB per cell. The distance to the lowest polymorph of the same formula comes out at 0 meV/atom. As for the theoretical density: 9.72 Mg/m³.

Entry 2:
A plane-wave DFT calculation with PBE-GGA was carried out for crystalline LaTcHg2 at its relaxed geometry.

a b c (Å): 3.5046 3.5046 27.6911
angles (deg): 90.00 90.00 120.00
Space group R3m (No. 160, hexagonal axes)
Unique sites:
La 0.0000 0.0000 0.0000 (multiplicity 3)
Tc 0.0000 0.0000 0.2603 (multiplicity 3)
Hg 0.0000 0.0000 0.5199 (multiplicity 3)
Hg 0.0000 0.0000 0.7660 (multiplicity 3)

The total moment comes out at 0.00 μB per cell. The distance to the lowest polymorph of the same formula comes out at 208 meV/atom. As for the theoretical density: 10.79 Mg/m³.

Entry 3:
A plane-wave DFT calculation with PBE-GGA was carried out for crystalline SrOs2I at its relaxed geometry.

a b c (Å): 7.9002 7.9002 5.9930
angles (deg): 90.00 90.00 90.00
Space group I-42d (No. 122)
Unique sites:
Sr 0.0000 0.0000 0.0000 (multiplicity 4)
Os 0.1850 0.2500 0.6250 (multiplicity 8)
I 0.0000 0.0000 0.5000 (multiplicity 4)

The total moment comes out at 0.00 μB per cell. For the formation energy from raw total energies, the calculation gives 5.8 eV per formula unit. The distance to the lowest polymorph of the same formula comes out at 0 meV/atom. As for the theoretical density: 10.57 Mg/m³.

Entry 4:
A plane-wave DFT calculation with PBE-GGA was carried out for crystalline NaScSi at its relaxed geometry.

a b c (Å): 3.0943 3.9611 11.0844
angles (deg): 90.00 90.00 90.00
Space group Pmm2 (No. 25)
Unique sites:
Na 0.0000 0.0000 0.0000 (multiplicity 1)
Na 0.5000 0.5000 0.2335 (multiplicity 1)
Sc 0.5000 0.5000 0.5149 (multiplicity 1)
Sc 0.5000 0.5000 0.7807 (multiplicity 1)
Si 0.0000 0.0000 0.4129 (multiplicity 1)
Si 0.0000 0.0000 0.6540 (multiplicity 1)

The total moment comes out at 0.18 μB per cell. For the formation energy from raw total energies, the calculation gives -0.6 eV per formula unit. As for the theoretical density: 2.35 Mg/m³.

Entry 5:
A plane-wave DFT calculation with PBE-GGA was carried out for crystalline Ag12Se3S5 at its relaxed geometry.

a b c (Å): 15.2193 15.2193 15.2193
angles (deg): 90.00 90.00 90.00
Space group Ia-3d (No. 230)
Unique sites:
Ag 0.0236 0.0760 0.6501 (multiplicity 96)
Se 0.0000 0.2500 0.1250 (multiplicity 24)
S 0.0000 0.0000 0.0000 (multiplicity 16)
S 0.0000 0.2500 0.3750 (multiplicity 24)

The total moment comes out at 0.00 μB per cell. For the formation energy from raw total energies, the calculation gives 0.8 eV per formula unit. As for the theoretical density: 6.37 Mg/m³.

Entry 6:
A plane-wave DFT calculation with PBE-GGA was carried out for crystalline ScOsCl2 at its relaxed geometry.

a b c (Å): 3.3214 5.4026 9.4101
angles (deg): 90.00 90.00 90.00
Space group Cmm2 (No. 35)
Unique sites:
Sc 0.0000 0.0000 0.0000 (multiplicity 2)
Os 0.0000 0.5000 0.2209 (multiplicity 2)
Cl 0.0000 0.0000 0.4159 (multiplicity 2)
Cl 0.0000 0.5000 0.8023 (multiplicity 2)

The total moment comes out at 0.00 μB per cell. For the formation energy from raw total energies, the calculation gives -1.2 eV per formula unit. The distance to the lowest polymorph of the same formula comes out at 257 meV/atom. As for the theoretical density: 6.02 Mg/m³.

Entry 7:
A plane-wave DFT calculation with PBE-GGA was carried out for crystalline Zn3Os at its relaxed geometry.

a b c (Å): 2.7443 2.7443 7.7860
angles (deg): 90.00 90.00 90.00
Space group P4/mmm (No. 123)
Unique sites:
Zn 0.0000 0.0000 0.0000 (multiplicity 1)
Zn 0.5000 0.5000 0.2585 (multiplicity 2)
Os 0.0000 0.0000 0.5000 (multiplicity 1)

The total moment comes out at 0.00 μB per cell. The total energy is -3.521 eV per atom. As for the theoretical density: 10.94 Mg/m³.

Entry 8:
A plane-wave DFT calculation with PBE-GGA was carried out for crystalline Be2ReAu at its relaxed geometry.

a b c (Å): 4.0825 4.0825 2.8863
angles (deg): 90.00 90.00 90.00
Space group P4/mmm (No. 123)
Unique sites:
Be 0.0000 0.5000 0.0000 (multiplicity 2)
Re 0.0000 0.0000 0.5000 (multiplicity 1)
Au 0.5000 0.5000 0.5000 (multiplicity 1)

The total moment comes out at 0.00 μB per cell. The distance to the lowest polymorph of the same formula comes out at 0 meV/atom. As for the theoretical density: 13.85 Mg/m³.